Record 1
Below is a relaxed Tl2AsIr crystal, with properties calculated at the PBE-GGA level.

Cell lengths 3.3123, 3.0974, 8.5464 Å; angles 89.93, 90.00, 90.00 degrees
Positions (direct):
As 0.5000 0.2500 0.2500
Tl 0.0000 0.2510 0.5380
Ir 0.5000 0.7500 0.7500
Tl 0.0000 0.2490 0.9620

Output
The crystal system is monoclinic. As for the space group: No. 10. The energy relative to the elements comes out at 0.4656 eV per atom. The energy relative to the lowest polymorph listed for this composition is 1.69 eV/f.u.

Record 2
Below is a relaxed Tl2AsIr crystal, with properties calculated at the PBE-GGA level.

Cell lengths 3.2979, 3.2979, 8.7255 Å; angles 90.00, 90.00, 90.00 degrees
Positions (direct):
Ir 0.5000 0.5000 0.6870
As 0.0000 0.0000 0.5734
Tl 0.0000 0.0000 0.9473
Tl 0.5000 0.5000 0.2923

Output
The crystal system is tetragonal. As for the space group: No. 99. The energy relative to the elements comes out at 0.0877 eV per atom. The energy relative to the lowest polymorph listed for this composition is 0.17 eV/f.u.

Record 3
Below is a relaxed TlAsIr crystal, with properties calculated at the PBE-GGA level.

Cell lengths 4.0762, 4.0762, 8.9042 Å; angles 103.23, 103.23, 90.00 degrees
Positions (direct):
Tl 0.6666 0.6666 0.3331
As 0.9096 0.9096 0.8193
As 0.0904 0.0904 0.1807
Tl 0.3334 0.3334 0.6669
Ir 0.0000 0.5000 0.0000
Ir 0.5000 0.0000 0.0000

Output
The crystal system is tetragonal. As for the space group: No. 139. The energy relative to the elements comes out at 0.0415 eV per atom. The energy relative to the lowest polymorph listed for this composition is 0.00 eV/f.u.

Please write out number 2 again, unchanged.
Below is a relaxed Tl2AsIr crystal, with properties calculated at the PBE-GGA level.

Cell lengths 3.2979, 3.2979, 8.7255 Å; angles 90.00, 90.00, 90.00 degrees
Positions (direct):
Ir 0.5000 0.5000 0.6870
As 0.0000 0.0000 0.5734
Tl 0.0000 0.0000 0.9473
Tl 0.5000 0.5000 0.2923

Output
The crystal system is tetragonal. As for the space group: No. 99. The energy relative to the elements comes out at 0.0877 eV per atom. The energy relative to the lowest polymorph listed for this composition is 0.17 eV/f.u.